An optimized crystal structure of Co2MoSe. Source: Alexandria, functional GGA-PBE.

CIF file:
```
data_Co2MoSe
_chemical_formula_sum 'Co2 Mo1 Se1'
_cell_length_a 3.723
_cell_length_b 3.723
_cell_length_c 3.753
_cell_angle_alpha 90.00
_cell_angle_beta 90.00
_cell_angle_gamma 90.00
_space_group_name_H-M_alt 'P 4/m m m'
_space_group_IT_number 123
_space_group_name_Hall '-P 4 2'
loop_
_atom_site_label
_atom_site_fract_x
_atom_site_fract_y
_atom_site_fract_z
Co1 0.000 0.500 0.000
Mo1 0.000 0.000 0.500
Se1 0.500 0.500 0.500
```

The value obtained for the uncorrected energy is -0.497 Ry per atom. The calculation puts the uncorrected formation energy at 0.37 eV/atom.